(1)
Compound: Ta3CuRu
Source: the Alexandria database
Functional: GGA-PBE
Structure: relaxed

Cell lengths 4.571, 4.571, 4.571 Å; angles 90.00, 90.00, 90.00 degrees
Element x y z (fractional)
Ta: 0.500 0.000 0.000
Ta: 0.000 0.500 0.000
Ta: 0.000 0.000 0.500
Ru: 0.500 0.500 0.500
Cu: 0.000 0.000 0.000

Computed properties:
Relative energy among the computed polymorphs: 75 meV/atom
Symmetry: Pm-3m (221)
Calculated total energy: -8.441 eV per atom
Spin magnetization: 0.000 Bohr magnetons per cell



(2)
Compound: TaCuRu
Source: the Alexandria database
Functional: GGA-PBE
Structure: relaxed

Cell lengths 4.226, 4.946, 8.738 Å; angles 90.00, 90.00, 90.00 degrees
Element x y z (fractional)
Cu: 0.500 0.250 0.750
Cu: 0.000 0.750 0.250
Cu: 0.500 0.750 0.750
Cu: 0.000 0.250 0.250
Ru: 0.000 0.500 0.853
Ru: 0.000 0.000 0.647
Ru: 0.500 0.500 0.353
Ru: 0.500 0.000 0.147
Ta: 0.000 0.500 0.535
Ta: 0.500 0.000 0.465
Ta: 0.500 0.500 0.035
Ta: 0.000 0.000 0.965

Computed properties:
Relative energy among the computed polymorphs: 42 meV/atom
Symmetry: Cmcm (63)
Calculated total energy: -8.534 eV per atom
Spin magnetization: 0.000 Bohr magnetons per cell



(3)
Compound: TaCu2Ru
Source: the Alexandria database
Functional: GGA-PBE
Structure: relaxed

Cell lengths 3.226, 3.226, 5.514 Å; angles 90.00, 90.00, 90.00 degrees
Element x y z (fractional)
Cu: 0.500 0.500 0.228
Cu: 0.000 0.000 0.021
Ta: 0.500 0.500 0.743
Ru: 0.000 0.000 0.507

Computed properties:
Relative energy among the computed polymorphs: 84 meV/atom
Symmetry: P4mm (99)
Calculated total energy: -7.346 eV per atom
Spin magnetization: 0.001 Bohr magnetons per cell



(4)
Compound: TaCu2Ru
Source: the Alexandria database
Functional: GGA-PBE
Structure: relaxed

Cell lengths 3.311, 3.311, 5.150 Å; angles 90.00, 90.00, 90.00 degrees
Element x y z (fractional)
Cu: 0.000 0.000 0.495
Cu: 0.000 0.000 0.005
Ta: 0.500 0.500 0.750
Ru: 0.500 0.500 0.250

Computed properties:
Relative energy among the computed polymorphs: 257 meV/atom
Symmetry: P4/mmm (123)
Calculated total energy: -7.173 eV per atom
Spin magnetization: 0.000 Bohr magnetons per cell



(5)
Compound: TaCuRu
Source: the Alexandria database
Functional: GGA-PBE
Structure: relaxed

Cell lengths 4.772, 4.772, 3.268 Å; angles 69.98, 69.98, 40.04 degrees
Element x y z (fractional)
Cu: 0.001 0.001 0.999
Ta: 0.670 0.670 0.330
Ru: 0.330 0.330 0.670

Computed properties:
Relative energy among the computed polymorphs: 0 meV/atom
Symmetry: I4mm (107)
Calculated total energy: -8.576 eV per atom
Spin magnetization: 0.000 Bohr magnetons per cell



(6)
Compound: TaCu2Ru
Source: the Alexandria database
Functional: GGA-PBE
Structure: relaxed

Cell lengths 4.879, 4.879, 4.879 Å; angles 135.76, 135.74, 64.37 degrees
Element x y z (fractional)
Cu: 0.500 0.500 0.000
Cu: 0.000 0.000 0.000
Ru: 0.750 0.250 0.500
Ta: 0.250 0.750 0.500

Computed properties:
Relative energy among the computed polymorphs: 0 meV/atom
Symmetry: I4/mmm (139)
Calculated total energy: -7.430 eV per atom
Spin magnetization: 0.000 Bohr magnetons per cell